The following is a GGA-PBEsol calculation of crystalline SrMn2Al at its relaxed geometry, from the Alexandria database.

```
data_SrMn2Al
_space_group_name_H-M_alt 'P 1'
_space_group_IT_number 1
_cell_length_a 2.9766
_cell_length_b 4.5182
_cell_length_c 6.3786
_cell_angle_alpha 96.65
_cell_angle_beta 90.00
_cell_angle_gamma 109.23
loop_
_space_group_symop_operation_xyz
'x,y,z'
loop_
_atom_site_label
_atom_site_type_symbol
_atom_site_fract_x
_atom_site_fract_y
_atom_site_fract_z
_atom_site_occupancy
Sr1 Sr 0.0000 0.0000 0.5000 1
Mn1 Mn 0.2355 0.4710 0.1590 1
Mn2 Mn 0.7645 0.5290 0.8410 1
Al1 Al 0.5000 0.0000 0.0000 1
```

Calculated values
E_form = 0.5192 eV per atom
Space group = C2/m (12)
Fermi-level density of states = 0.9915 states/eV per atom
VASP energy = -5.844 eV/atom